A PBEsol-optimized structure of RbAgS2, computed with SCAN.

Unit cell a=5.0809 b=5.0809 c=9.1438 alpha=106.13 beta=106.13 gamma=90.00
Fractional coordinates of all 8 atoms:
Ag 0.0000 0.0000 0.0000
Ag 0.2500 0.7500 0.5000
Rb 0.5000 0.5000 0.0000
Rb 0.7500 0.2500 0.5000
S 0.6250 0.8329 0.7500
S 0.1250 0.9171 0.7500
S 0.1671 0.8750 0.2500
S 0.0829 0.3750 0.2500

Calculated values
* excess energy over the best structure of this formula in the dataset: 0 meV/atom
* volume: 27.134 Å³/atom
* calculated total energy: -1.3412 Ry/atom
* formation energy without anion corrections: -407.3 meV per atom
* spin magnetization: 0.000 μB/atom